(1)
VASP calculation (PBEsol) on crystalline BaTl2InGa at its relaxed geometry.

Cell lengths 5.249, 5.677, 5.677 Å; angles 90.00, 90.00, 90.00 degrees
Fractional coordinates of all 5 atoms:
1 Tl 0.000 0.000 0.500
2 Tl 0.000 0.500 0.000
3 In 0.000 0.000 0.000
4 Ga 0.500 0.000 0.000
5 Ba 0.500 0.500 0.500

Results
The total DFT energy (no corrections) comes out at -13.47 eV/f.u.

(2)
VASP calculation (PBEsol) on crystalline BaGa2Ir2 at its relaxed geometry.

Cell lengths 4.367, 4.367, 6.075 Å; angles 111.06, 111.06, 90.00 degrees
Fractional coordinates of all 5 atoms:
1 Ir 0.379 0.379 0.759
2 Ir 0.621 0.621 0.241
3 Ba 0.000 0.000 0.000
4 Ga 0.250 0.750 0.500
5 Ga 0.750 0.250 0.500

Results
The total DFT energy (no corrections) comes out at -30.42 eV/f.u.

(3)
VASP calculation (PBEsol) on crystalline Ba2GaIr at its relaxed geometry.

Cell lengths 4.809, 8.472, 8.472 Å; angles 85.38, 73.51, 73.51 degrees
Fractional coordinates of all 8 atoms:
1 Ba 0.945 0.180 0.680
2 Ba 0.805 0.820 0.320
3 Ba 0.375 0.680 0.820
4 Ba 0.875 0.320 0.180
5 Ga 0.500 0.000 0.000
6 Ga 0.250 0.500 0.500
7 Ir 0.000 0.000 0.000
8 Ir 0.750 0.500 0.500

Results
The total DFT energy (no corrections) comes out at -18.25 eV/f.u.

(4)
VASP calculation (PBEsol) on crystalline BaGa3Ir at its relaxed geometry.

Cell lengths 6.252, 6.797, 6.797 Å; angles 64.50, 62.62, 62.62 degrees
Fractional coordinates of all 10 atoms:
1 Ba 0.750 0.158 0.342
2 Ba 0.250 0.842 0.658
3 Ir 0.500 0.000 0.000
4 Ir 0.000 0.500 0.500
5 Ga 0.199 0.301 0.801
6 Ga 0.699 0.301 0.801
7 Ga 0.250 0.327 0.173
8 Ga 0.801 0.699 0.199
9 Ga 0.750 0.673 0.827
10 Ga 0.301 0.699 0.199

Results
The total DFT energy (no corrections) comes out at -24.58 eV/f.u.

(5)
VASP calculation (PBEsol) on crystalline BaGa3Ir at its relaxed geometry.

Cell lengths 4.818, 4.818, 4.818 Å; angles 90.00, 90.00, 90.00 degrees
Fractional coordinates of all 5 atoms:
1 Ir 0.000 0.000 0.000
2 Ga 0.500 0.000 0.000
3 Ga 0.000 0.000 0.500
4 Ga 0.000 0.500 0.000
5 Ba 0.500 0.500 0.500

Results
The total DFT energy (no corrections) comes out at -24.41 eV/f.u.

(6)
VASP calculation (PBEsol) on crystalline BaLaGaIr2 at its relaxed geometry.

Cell lengths 5.040, 5.040, 5.644 Å; angles 90.00, 90.00, 90.00 degrees
Fractional coordinates of all 5 atoms:
1 La 0.000 0.000 0.500
2 Ba 0.000 0.000 0.000
3 Ir 0.500 0.000 0.000
4 Ir 0.000 0.500 0.000
5 Ga 0.500 0.500 0.500

Results
The total DFT energy (no corrections) comes out at -21.54 eV/f.u.

(7)
VASP calculation (PBEsol) on crystalline KBa2LiGa at its relaxed geometry.

Cell lengths 5.402, 6.529, 6.529 Å; angles 90.00, 90.00, 90.00 degrees
Fractional coordinates of all 5 atoms:
1 Ba 0.000 0.000 0.500
2 Ba 0.000 0.500 0.000
3 Ga 0.000 0.000 0.000
4 Li 0.500 0.000 0.000
5 K 0.500 0.500 0.500

Results
The total DFT energy (no corrections) comes out at -10.65 eV/f.u.

(8)
VASP calculation (PBEsol) on crystalline KBaMn2Ga at its relaxed geometry.

Cell lengths 5.011, 5.011, 6.137 Å; angles 90.00, 90.00, 90.00 degrees
Site moments in Bohr magnetons follow the coordinates.
Fractional coordinates of all 5 atoms:
1 Ga 0.000 0.000 0.000  -0.14
2 Mn 0.500 0.000 0.000  3.94
3 Mn 0.000 0.500 0.000  3.94
4 K 0.500 0.500 0.500  -0.03
5 Ba 0.000 0.000 0.500  -0.17

Results
The total DFT energy (no corrections) comes out at -22.13 eV/f.u.

(9)
VASP calculation (PBEsol) on crystalline KBaTlGa2 at its relaxed geometry.

Cell lengths 5.534, 5.534, 6.102 Å; angles 90.00, 90.00, 90.00 degrees
Fractional coordinates of all 5 atoms:
1 K 0.000 0.000 0.000
2 Ba 0.000 0.000 0.500
3 Ga 0.500 0.000 0.000
4 Ga 0.000 0.500 0.000
5 Tl 0.500 0.500 0.500

Results
The total DFT energy (no corrections) comes out at -8.84 eV/f.u.

(10)
VASP calculation (PBEsol) on crystalline Ba6La2Ga4O15 at its relaxed geometry.

Cell lengths 7.072, 11.773, 11.773 Å; angles 119.41, 90.27, 90.27 degrees
Fractional coordinates of all 54 atoms:
1 O 0.060 0.319 0.942
2 O 0.523 0.388 0.071
3 O 0.779 0.900 0.809
4 O 0.065 0.597 0.928
5 O 0.279 0.809 0.900
6 O 0.045 0.605 0.671
7 O 0.685 0.175 0.585
8 O 0.670 0.413 0.826
9 O 0.299 0.074 0.876
10 O 0.362 0.505 0.747
11 O 0.350 0.262 0.498
12 O 0.679 0.418 0.582
13 O 0.179 0.582 0.418
14 O 0.037 0.335 0.402
15 O 0.346 0.259 0.755
16 O 0.777 0.196 0.109
17 O 0.565 0.928 0.597
18 O 0.020 0.071 0.677
19 O 0.185 0.585 0.175
20 O 0.560 0.942 0.319
21 O 0.545 0.671 0.605
22 O 0.170 0.826 0.413
23 O 0.799 0.876 0.074
24 O 0.520 0.677 0.071
25 O 0.846 0.755 0.259
26 O 0.023 0.071 0.388
27 O 0.850 0.498 0.262
28 O 0.537 0.402 0.335
29 O 0.277 0.109 0.196
30 O 0.862 0.747 0.505
31 Ga 0.536 0.335 0.664
32 Ga 0.686 0.820 0.644
33 Ga 0.171 0.183 0.357
34 Ga 0.186 0.644 0.820
35 Ga 0.036 0.664 0.335
36 Ga 0.679 0.818 0.174
37 Ga 0.179 0.174 0.818
38 Ga 0.671 0.357 0.183
39 Ba 0.187 0.830 0.654
40 Ba 0.674 0.170 0.821
41 Ba 0.177 0.350 0.179
42 Ba 0.514 0.999 0.003
43 Ba 0.994 0.335 0.668
44 Ba 0.014 0.003 0.999
45 Ba 0.494 0.668 0.335
46 Ba 0.677 0.179 0.350
47 Ba 0.174 0.821 0.170
48 Ba 0.687 0.654 0.830
49 Ba 0.843 0.518 0.044
50 Ba 0.343 0.044 0.518
51 La 0.849 0.523 0.482
52 La 0.349 0.482 0.523
53 La 0.846 0.959 0.477
54 La 0.346 0.477 0.959

Results
For the raw formation energy, the calculation gives -2.597 eV/atom.

(11)
VASP calculation (PBEsol) on crystalline BaLiGa at its relaxed geometry.

Cell lengths 4.805, 4.805, 7.986 Å; angles 107.51, 107.51, 90.00 degrees
Fractional coordinates of all 6 atoms:
1 Li 0.500 0.000 0.000
2 Li 0.000 0.500 0.000
3 Ga 0.912 0.912 0.824
4 Ga 0.088 0.088 0.176
5 Ba 0.324 0.324 0.648
6 Ba 0.676 0.676 0.352

Results
The total DFT energy (no corrections) comes out at -8.37 eV/f.u.